# 1
! TbSc2Se GGA-PBE optimized geometry; values from VASP
! Uncorrected formation energy in eV/atom: -0.73
! Raw total energy in eV per atom: -5.926
&SYSTEM
  ibrav = 0, nat = 4, ntyp = 3
/
ATOMIC_SPECIES
Tb 158.93 Tb.upf
Sc 44.96 Sc.upf
Se 78.96 Se.upf
CELL_PARAMETERS angstrom
1.8166 1.0488 8.8369
-1.8166 1.0488 8.8369
0.0000 -2.0976 8.8369
ATOMIC_POSITIONS crystal
Tb 0.0000 0.0000 0.0000
Sc 0.2304 0.2304 0.2304
Sc 0.4360 0.4360 0.4360
Se 0.8334 0.8334 0.8334

***

# 2
! Tb4ScSe5 GGA-PBE optimized geometry; values from VASP
! Uncorrected formation energy in eV/atom: -1.72
! Raw total energy in eV per atom: -5.950
&SYSTEM
  ibrav = 0, nat = 10, ntyp = 3
/
ATOMIC_SPECIES
Tb 158.93 Tb.upf
Sc 44.96 Sc.upf
Se 78.96 Se.upf
CELL_PARAMETERS angstrom
-2.0263 2.0263 14.3846
2.0263 -2.0263 14.3846
2.0263 2.0263 -14.3846
ATOMIC_POSITIONS crystal
Tb 0.1012 0.1012 0.0000
Tb 0.3054 0.3054 0.0000
Tb 0.6946 0.6946 0.0000
Tb 0.8988 0.8988 0.0000
Sc 0.5000 0.5000 0.0000
Se 0.0000 0.0000 0.0000
Se 0.2025 0.2025 0.0000
Se 0.4052 0.4052 0.0000
Se 0.5948 0.5948 0.0000
Se 0.7975 0.7975 0.0000

***

# 3
! TbSc4Se6 GGA-PBE optimized geometry; values from VASP
! Uncorrected formation energy in eV/atom: -1.71
! Raw total energy in eV per atom: -6.334
&SYSTEM
  ibrav = 0, nat = 22, ntyp = 3
/
ATOMIC_SPECIES
Tb 158.93 Tb.upf
Sc 44.96 Sc.upf
Se 78.96 Se.upf
CELL_PARAMETERS angstrom
1.9301 -6.3630 0.0000
1.9301 6.3630 0.0000
0.0000 0.0000 19.9300
ATOMIC_POSITIONS crystal
Tb 0.1520 0.8480 0.7500
Tb 0.8480 0.1520 0.2500
Sc 0.0924 0.9076 0.1242
Sc 0.0924 0.9076 0.3758
Sc 0.3578 0.6422 0.0374
Sc 0.3578 0.6422 0.4626
Sc 0.6422 0.3578 0.5374
Sc 0.6422 0.3578 0.9626
Sc 0.9076 0.0924 0.6242
Sc 0.9076 0.0924 0.8758
Se 0.0000 0.0000 0.0000
Se 0.0000 0.0000 0.5000
Se 0.1815 0.8185 0.2500
Se 0.2680 0.7320 0.5890
Se 0.2680 0.7320 0.9110
Se 0.4521 0.5479 0.1618
Se 0.4521 0.5479 0.3382
Se 0.5479 0.4521 0.6618
Se 0.5479 0.4521 0.8382
Se 0.7320 0.2680 0.0890
Se 0.7320 0.2680 0.4110
Se 0.8185 0.1815 0.7500

***

# 4
! TbSc3Se4 GGA-PBE optimized geometry; values from VASP
! Uncorrected formation energy in eV/atom: -1.63
! Raw total energy in eV per atom: -6.327
&SYSTEM
  ibrav = 0, nat = 8, ntyp = 3
/
ATOMIC_SPECIES
Tb 158.93 Tb.upf
Sc 44.96 Sc.upf
Se 78.96 Se.upf
CELL_PARAMETERS angstrom
1.9621 1.1328 12.8807
-1.9621 1.1328 12.8807
0.0000 -2.2657 12.8807
ATOMIC_POSITIONS crystal
Tb 0.0000 0.0000 0.0000
Sc 0.2476 0.2476 0.2476
Sc 0.5000 0.5000 0.5000
Sc 0.7524 0.7524 0.7524
Se 0.1264 0.1264 0.1264
Se 0.3794 0.3794 0.3794
Se 0.6206 0.6206 0.6206
Se 0.8736 0.8736 0.8736

***

# 5
! TbScSe GGA-PBE optimized geometry; values from VASP
! Uncorrected formation energy in eV/atom: -0.91
! Raw total energy in eV per atom: -5.726
&SYSTEM
  ibrav = 0, nat = 3, ntyp = 3
/
ATOMIC_SPECIES
Tb 158.93 Tb.upf
Sc 44.96 Sc.upf
Se 78.96 Se.upf
CELL_PARAMETERS angstrom
-1.7786 1.7786 5.6379
1.7786 -1.7786 5.6379
1.7786 1.7786 -5.6379
ATOMIC_POSITIONS crystal
Tb 0.0000 0.0000 0.0000
Sc 0.3037 0.3037 0.0000
Se 0.6829 0.6829 0.0000

***

# 6
! TbThSc2Se4 GGA-PBE optimized geometry; values from VASP
! Uncorrected formation energy in eV/atom: -1.60
! Raw total energy in eV per atom: -6.432
&SYSTEM
  ibrav = 0, nat = 8, ntyp = 4
/
ATOMIC_SPECIES
Tb 158.93 Tb.upf
Th 232.04 Th.upf
Sc 44.96 Sc.upf
Se 78.96 Se.upf
CELL_PARAMETERS angstrom
6.9084 0.0000 0.0000
0.0000 3.9604 0.0000
-2.2826 0.0000 6.6987
ATOMIC_POSITIONS crystal
Tb 0.0000 0.0000 0.0000
Th 0.5000 0.5000 0.0000
Sc 0.0000 0.5000 0.5000
Sc 0.5000 0.0000 0.5000
Se 0.2358 0.0000 0.7234
Se 0.2524 0.5000 0.2720
Se 0.7476 0.5000 0.7280
Se 0.7642 0.0000 0.2766